Arrangement i

# CuP2Ru

An optimized crystal structure of CuP2Ru (GGA-PBEsol, the Alexandria database).

Cell: 3.548 3.548 7.992 Å, 90.00 90.00 90.00°
Space group I-4m2 (No. 119)
Inequivalent atoms, fractional coordinates:
Cu1 0.000 0.000 0.000 x2
P1 0.000 0.000 0.500 x2
P2 0.000 0.500 0.250 x2
Ru1 0.000 0.500 0.750 x2

* density: 7.5 Mg/m³
* DOS(E_F): 3.9 states/eV per cell



Arrangement ii

# CuP2Ru

An optimized crystal structure of CuP2Ru (GGA-PBEsol, the Alexandria database).

Cell: 2.766 3.465 11.403 Å, 90.00 90.00 90.00°
Space group Imm2 (No. 44)
Inequivalent atoms, fractional coordinates:
Cu1 0.000 0.000 0.000 x2
P1 0.000 0.000 0.602 x2
P2 0.000 0.500 0.849 x2
Ru1 0.000 0.500 0.273 x2

* density: 6.9 Mg/m³
* DOS(E_F): 3.5 states/eV per cell



Which structure wins on stability? arrangement ii wins.



Arrangement i

# ScAgOs2

An optimized crystal structure of ScAgOs2 (GGA-PBEsol, the Alexandria database).

Cell: 2.763 4.653 4.862 Å, 90.00 94.25 90.00°
Space group P2/m (No. 10)
Inequivalent atoms, fractional coordinates:
Sc1 0.000 0.000 0.000 x1
Ag1 0.500 0.000 0.500 x1
Os1 0.281 0.500 0.753 x2

* density: 14.2 Mg/m³
* DOS(E_F): 3.5 states/eV per cell



Arrangement ii

# ScAgOs2

An optimized crystal structure of ScAgOs2 (GGA-PBEsol, the Alexandria database).

Cell: 9.281 2.862 4.810 Å, 90.00 101.19 90.00°
Space group Cm (No. 8)
Inequivalent atoms, fractional coordinates:
Sc1 0.000 0.000 0.000 x2
Ag1 0.259 0.500 0.224 x2
Os1 0.010 0.500 0.530 x2
Os2 0.247 0.000 0.697 x2

* density: 14.1 Mg/m³
* DOS(E_F): 5.2 states/eV per cell



Which structure wins on stability? arrangement ii wins.



Arrangement i

# Ag2OsPt

An optimized crystal structure of Ag2OsPt (GGA-PBEsol, the Alexandria database).

Cell: 2.740 2.740 8.220 Å, 90.00 90.00 90.00°
Space group P4mm (No. 99)
Inequivalent atoms, fractional coordinates:
Ag1 0.000 0.000 0.000 x1
Ag2 0.500 0.500 0.263 x1
Os1 0.000 0.000 0.518 x1
Pt1 0.500 0.500 0.739 x1

* density: 16.2 Mg/m³
* DOS(E_F): 2.4 states/eV per cell



Arrangement ii

# Ag2OsPt

An optimized crystal structure of Ag2OsPt (GGA-PBEsol, the Alexandria database).

Cell: 2.7381 2.7381 28.2264 Å, 90.00 90.00 120.00°
Space group R-3m (No. 166, hexagonal axes)
Inequivalent atoms, fractional coordinates:
Ag1 0.0000 0.0000 0.2503 x6
Os1 0.0000 0.0000 0.0000 x3
Pt1 0.0000 0.0000 0.5000 x3

* density: 16.3 Mg/m³
* DOS(E_F): 13.0 states/eV per cell



Which structure wins on stability? arrangement i wins.